Entry from Alexandria: an optimized crystal structure of CsGaBiSb (GGA-PBE).

Raw formation energy   -0.269 eV per atom
Magnetic moment   0.000 μB per atom

abc: 4.6468 4.6468 14.6076
angles: 90.00 90.00 90.00
Last column: nearest neighbours and their distance in Å.
Space group P4/nmm (No. 129, origin choice 2)
Unique sites:
Cs: 0.2500 0.2500 0.2364 (multiplicity 2)  4 Sb 4.00, 4 Bi 4.16
Ga: 0.2500 0.7500 0.5000 (multiplicity 2)  4 Sb 2.80
Bi: 0.2500 0.7500 0.0000 (multiplicity 2)  4 Bi 3.29
Sb: 0.2500 0.2500 0.6075 (multiplicity 2)  4 Ga 2.80



Entry from Alexandria: an optimized crystal structure of PmPr3Er2Se6 (GGA-PBE).

Raw formation energy   -1.800 eV per atom
Magnetic moment   0.000 μB per atom

abc: 7.1620 12.4571 7.3434
angles: 90.00 109.06 90.00
Last column: nearest neighbours and their distance in Å.
Space group C2/m (No. 12)
Unique sites:
Pm: 0.0000 0.0000 0.0000 (multiplicity 2)  6 Se 2.93-2.96
Pr: 0.0000 0.1604 0.5000 (multiplicity 4)  6 Se 3.01-3.04
Pr: 0.0000 0.5000 0.5000 (multiplicity 2)  6 Se 2.98-3.05
Er: 0.0000 0.3339 0.0000 (multiplicity 4)  6 Se 2.85-2.87
Se: 0.2336 0.5000 0.2305 (multiplicity 4)  2 Er 2.85, 1 Pm 2.93, 3 Pr 2.98-3.01
Se: 0.2499 0.1718 0.2355 (multiplicity 8)  2 Er 2.87, 1 Pm 2.96, 3 Pr 3.01-3.05